1.
# K2Sn2Pt (PBE, optimized geometry)
data_K2Sn2Pt
_chemical_formula_sum 'K4 Sn4 Pt2'
_space_group_name_H-M_alt 'P 4/m b m'
_space_group_IT_number 127
_space_group_name_Hall '-P 4 2ab'
_cell_length_a 7.084
_cell_length_b 7.084
_cell_length_c 5.915
_cell_angle_alpha 90.00
_cell_angle_beta 90.00
_cell_angle_gamma 90.00
loop_
_atom_site_label
_atom_site_type_symbol
_atom_site_fract_x
_atom_site_fract_y
_atom_site_fract_z
K1 K 0.181 0.319 0.000
Sn1 Sn 0.145 0.645 0.500
Pt1 Pt 0.000 0.000 0.500
# spin magnetization: 0.00 μB per formula unit
# relative energy among the computed polymorphs: 0 meV per atom
# N(E_F): 4.42 states/eV per cell
# mass density: 5.7 g/cm³
# calculated formation energy: -1.48 eV per formula unit

2.
# K3Sn4Pt7 (PBE, optimized geometry)
data_K3Sn4Pt7
_chemical_formula_sum 'K6 Sn8 Pt14'
_space_group_name_H-M_alt 'C 1 2/m 1'
_space_group_IT_number 12
_cell_length_a 17.359
_cell_length_b 4.523
_cell_length_c 11.682
_cell_angle_alpha 90.00
_cell_angle_beta 131.69
_cell_angle_gamma 90.00
loop_
_space_group_symop_operation_xyz
'x,y,z'
'-x,-y,-z'
'-x,y,-z'
'x,-y,z'
'x+1/2,y+1/2,z'
'-x+1/2,-y+1/2,-z'
'-x+1/2,y+1/2,-z'
'x+1/2,-y+1/2,z'
loop_
_atom_site_label
_atom_site_type_symbol
_atom_site_fract_x
_atom_site_fract_y
_atom_site_fract_z
K1 K 0.000 0.000 0.000
K2 K 0.224 0.500 0.719
Sn1 Sn 0.101 0.000 0.390
Sn2 Sn 0.168 0.500 0.977
Pt1 Pt 0.000 0.000 0.500
Pt2 Pt 0.004 0.500 0.638
Pt3 Pt 0.117 0.000 0.820
Pt4 Pt 0.189 0.500 0.409
# spin magnetization: 0.00 μB per formula unit
# N(E_F): 12.72 states/eV per cell
# mass density: 9.5 g/cm³
# calculated formation energy: -4.97 eV per formula unit

3.
# K3Sn4Pt2 (PBE, optimized geometry)
data_K3Sn4Pt2
_chemical_formula_sum 'K12 Sn16 Pt8'
_space_group_name_H-M_alt 'C 1 2/c 1'
_space_group_IT_number 15
_cell_length_a 16.540
_cell_length_b 10.894
_cell_length_c 6.911
_cell_angle_alpha 90.00
_cell_angle_beta 109.22
_cell_angle_gamma 90.00
loop_
_space_group_symop_operation_xyz
'x,y,z'
'-x,-y,-z'
'-x,y,-z+1/2'
'x,-y,z+1/2'
'x+1/2,y+1/2,z'
'-x+1/2,-y+1/2,-z'
'-x+1/2,y+1/2,-z+1/2'
'x+1/2,-y+1/2,z+1/2'
loop_
_atom_site_label
_atom_site_type_symbol
_atom_site_fract_x
_atom_site_fract_y
_atom_site_fract_z
K1 K 0.000 0.080 0.250
K2 K 0.116 0.390 0.124
Sn1 Sn 0.145 0.260 0.657
Sn2 Sn 0.190 0.085 0.019
Pt1 Pt 0.217 0.138 0.410
# spin magnetization: 0.00 μB per formula unit
# relative energy among the computed polymorphs: 29 meV per atom
# N(E_F): 16.81 states/eV per cell
# mass density: 5.5 g/cm³
# calculated formation energy: -3.04 eV per formula unit

4.
# KSn2Pt2 (PBE, optimized geometry)
data_KSn2Pt2
_chemical_formula_sum 'K4 Sn8 Pt8'
_space_group_name_H-M_alt 'C m c m'
_space_group_IT_number 63
_space_group_name_Hall '-C 2c 2'
_cell_length_a 7.199
_cell_length_b 6.579
_cell_length_c 10.755
_cell_angle_alpha 90.00
_cell_angle_beta 90.00
_cell_angle_gamma 90.00
loop_
_atom_site_label
_atom_site_type_symbol
_atom_site_fract_x
_atom_site_fract_y
_atom_site_fract_z
K1 K 0.000 0.219 0.250
Sn1 Sn 0.000 0.303 0.597
Pt1 Pt 0.203 0.000 0.000
# spin magnetization: 0.00 μB per formula unit
# relative energy among the computed polymorphs: 7 meV per atom
# N(E_F): 5.32 states/eV per cell
# mass density: 8.7 g/cm³
# calculated formation energy: -2.30 eV per formula unit

5.
# K2Sn2Pt3 (PBE, optimized geometry)
data_K2Sn2Pt3
_chemical_formula_sum 'K4 Sn4 Pt6'
_space_group_name_H-M_alt 'C 1 2/m 1'
_space_group_IT_number 12
_cell_length_a 12.995
_cell_length_b 4.423
_cell_length_c 7.846
_cell_angle_alpha 90.00
_cell_angle_beta 120.47
_cell_angle_gamma 90.00
loop_
_space_group_symop_operation_xyz
'x,y,z'
'-x,-y,-z'
'-x,y,-z'
'x,-y,z'
'x+1/2,y+1/2,z'
'-x+1/2,-y+1/2,-z'
'-x+1/2,y+1/2,-z'
'x+1/2,-y+1/2,z'
loop_
_atom_site_label
_atom_site_type_symbol
_atom_site_fract_x
_atom_site_fract_y
_atom_site_fract_z
K1 K 0.135 0.000 0.239
Sn1 Sn 0.122 0.000 0.718
Pt1 Pt 0.000 0.500 0.500
Pt2 Pt 0.169 0.500 0.923
# spin magnetization: 0.00 μB per formula unit
# N(E_F): 4.76 states/eV per cell
# mass density: 7.7 g/cm³
# calculated formation energy: -2.53 eV per formula unit

6.
# K2Sn5Pt3 (PBE, optimized geometry)
data_K2Sn5Pt3
_chemical_formula_sum 'K8 Sn20 Pt12'
_space_group_name_H-M_alt 'C m c 21'
_space_group_IT_number 36
_cell_length_a 4.200
_cell_length_b 35.757
_cell_length_c 7.380
_cell_angle_alpha 90.00
_cell_angle_beta 90.00
_cell_angle_gamma 90.00
loop_
_space_group_symop_operation_xyz
'x,y,z'
'-x,-y,z+1/2'
'-x,y,z'
'x,-y,z+1/2'
'x+1/2,y+1/2,z'
'-x+1/2,-y+1/2,z+1/2'
'-x+1/2,y+1/2,z'
'x+1/2,-y+1/2,z+1/2'
loop_
_atom_site_label
_atom_site_type_symbol
_atom_site_fract_x
_atom_site_fract_y
_atom_site_fract_z
K1 K 0.000 0.015 0.000
K2 K 0.000 0.325 0.010
Sn1 Sn 0.000 0.102 0.386
Sn2 Sn 0.000 0.173 0.958
Sn3 Sn 0.000 0.242 0.243
Sn4 Sn 0.000 0.394 0.503
Sn5 Sn 0.000 0.442 0.161
Pt1 Pt 0.000 0.107 0.758
Pt2 Pt 0.000 0.282 0.544
Pt3 Pt 0.000 0.438 0.797
# spin magnetization: 0.00 μB per formula unit
# relative energy among the computed polymorphs: 104 meV per atom
# N(E_F): 18.50 states/eV per cell
# mass density: 7.5 g/cm³
# calculated formation energy: -3.27 eV per formula unit

7.
# KSn2Pt2 (PBE, optimized geometry)
data_KSn2Pt2
_chemical_formula_sum 'K2 Sn4 Pt4'
_space_group_name_H-M_alt 'I 4/m m m'
_space_group_IT_number 139
_space_group_name_Hall '-I 4 2'
_cell_length_a 4.781
_cell_length_b 4.781
_cell_length_c 10.675
_cell_angle_alpha 90.00
_cell_angle_beta 90.00
_cell_angle_gamma 90.00
loop_
_atom_site_label
_atom_site_type_symbol
_atom_site_fract_x
_atom_site_fract_y
_atom_site_fract_z
K1 K 0.000 0.000 0.000
Sn1 Sn 0.000 0.500 0.250
Pt1 Pt 0.000 0.000 0.372
# spin magnetization: 0.00 μB per formula unit
# relative energy among the computed polymorphs: 42 meV per atom
# N(E_F): 4.13 states/eV per cell
# mass density: 9.1 g/cm³
# calculated formation energy: -2.12 eV per formula unit

8.
# KSn6Pt (PBE, optimized geometry)
data_KSn6Pt
_chemical_formula_sum 'K1 Sn6 Pt1'
_space_group_name_H-M_alt 'P 4/m m m'
_space_group_IT_number 123
_space_group_name_Hall '-P 4 2'
_cell_length_a 4.771
_cell_length_b 4.771
_cell_length_c 10.431
_cell_angle_alpha 90.00
_cell_angle_beta 90.00
_cell_angle_gamma 90.00
loop_
_atom_site_label
_atom_site_type_symbol
_atom_site_fract_x
_atom_site_fract_y
_atom_site_fract_z
K1 K 0.000 0.000 0.000
Sn1 Sn 0.000 0.500 0.347
Sn2 Sn 0.500 0.500 0.164
Pt1 Pt 0.000 0.000 0.500
# spin magnetization: 0.00 μB per formula unit
# N(E_F): 3.30 states/eV per cell
# mass density: 6.6 g/cm³
# calculated formation energy: -1.81 eV per formula unit

9.
# KSn4Pt2 (PBE, optimized geometry)
data_KSn4Pt2
_chemical_formula_sum 'K2 Sn8 Pt4'
_space_group_name_H-M_alt 'P 42/m n m'
_space_group_IT_number 136
_space_group_name_Hall '-P 4n 2n'
_cell_length_a 8.914
_cell_length_b 8.914
_cell_length_c 4.333
_cell_angle_alpha 90.00
_cell_angle_beta 90.00
_cell_angle_gamma 90.00
loop_
_atom_site_label
_atom_site_type_symbol
_atom_site_fract_x
_atom_site_fract_y
_atom_site_fract_z
K1 K 0.000 0.000 0.000
Sn1 Sn 0.069 0.317 0.500
Pt1 Pt 0.227 0.773 0.500
# spin magnetization: 0.00 μB per formula unit
# relative energy among the computed polymorphs: 129 meV per atom
# N(E_F): 6.36 states/eV per cell
# mass density: 8.7 g/cm³
# calculated formation energy: -2.28 eV per formula unit

10.
# KSn2Pt2 (PBE, optimized geometry)
data_KSn2Pt2
_chemical_formula_sum 'K2 Sn4 Pt4'
_space_group_name_H-M_alt 'P 4/m b m'
_space_group_IT_number 127
_space_group_name_Hall '-P 4 2ab'
_cell_length_a 8.353
_cell_length_b 8.353
_cell_length_c 3.142
_cell_angle_alpha 90.00
_cell_angle_beta 90.00
_cell_angle_gamma 90.00
loop_
_atom_site_label
_atom_site_type_symbol
_atom_site_fract_x
_atom_site_fract_y
_atom_site_fract_z
K1 K 0.000 0.000 0.000
Sn1 Sn 0.151 0.349 0.500
Pt1 Pt 0.134 0.634 0.000
# spin magnetization: 0.00 μB per formula unit
# relative energy among the computed polymorphs: 181 meV per atom
# N(E_F): 6.01 states/eV per cell
# mass density: 10.1 g/cm³
# calculated formation energy: -1.43 eV per formula unit

11.
# K2Sn4Pt3 (PBE, optimized geometry)
data_K2Sn4Pt3
_chemical_formula_sum 'K8 Sn16 Pt12'
_space_group_name_H-M_alt 'F m m m'
_space_group_IT_number 69
_space_group_name_Hall '-F 2 2'
_cell_length_a 5.968
_cell_length_b 10.663
_cell_length_c 13.905
_cell_angle_alpha 90.00
_cell_angle_beta 90.00
_cell_angle_gamma 90.00
loop_
_atom_site_label
_atom_site_type_symbol
_atom_site_fract_x
_atom_site_fract_y
_atom_site_fract_z
K1 K 0.000 0.000 0.120
Sn1 Sn 0.000 0.169 0.346
Pt1 Pt 0.000 0.000 0.500
Pt2 Pt 0.250 0.250 0.000
# spin magnetization: 0.00 μB per formula unit
# N(E_F): 8.86 states/eV per cell
# mass density: 8.5 g/cm³
# calculated formation energy: -3.17 eV per formula unit

12.
# KSn3Pt2 (PBE, optimized geometry)
data_KSn3Pt2
_chemical_formula_sum 'K6 Sn18 Pt12'
_space_group_name_H-M_alt 'R -3 m'
_space_group_IT_number 166
_space_group_name_Hall '-R 3 2"'
_cell_length_a 8.0265
_cell_length_b 8.0265
_cell_length_c 18.6174
_cell_angle_alpha 90.00
_cell_angle_beta 90.00
_cell_angle_gamma 120.00
loop_
_atom_site_label
_atom_site_type_symbol
_atom_site_fract_x
_atom_site_fract_y
_atom_site_fract_z
K1 K 0.0000 0.0000 0.2160
Sn1 Sn 0.0143 0.5072 0.2589
Pt1 Pt 0.0000 0.0000 0.0000
Pt2 Pt 0.0000 0.5000 0.0000
# spin magnetization: 0.00 μB per formula unit
# relative energy among the computed polymorphs: 149 meV per atom
# N(E_F): 18.57 states/eV per cell
# mass density: 7.5 g/cm³
# calculated formation energy: -1.48 eV per formula unit